# K2Ca3NiF12, relaxed, DFT PBE with a Hubbard U
# Crystal system: trigonal
# E, eV/atom: -4.778
data_K2Ca3NiF12
_chemical_formula_sum 'K6 Ca9 Ni3 F36'
_cell_length_a 7.7805
_cell_length_b 7.7805
_cell_length_c 19.2747
_cell_angle_alpha 90.00
_cell_angle_beta 90.00
_cell_angle_gamma 120.00
_symmetry_space_group_name_H-M 'R -3 m'
_symmetry_Int_Tables_number 166
_symmetry_space_group_name_Hall '-R 3 2"'
loop_
_atom_site_label
_atom_site_type_symbol
_atom_site_fract_x
_atom_site_fract_y
_atom_site_fract_z
_atom_site_occupancy
K1 K 0.0000 0.0000 0.0983 1
Ca1 Ca 0.0000 0.5000 0.0000 1
Ni1 Ni 0.0000 0.0000 0.5000 1
F1 F 0.0486 0.5243 0.3724 1
F2 F 0.1095 0.2189 0.4470 1